Record 1
MgIn3Ni2 | PBE | relaxed

a b c (Å): 3.0468 11.9672 6.3853
angles (deg): 90.00 90.00 90.00
Last column: nearest neighbours and their distance in Å.
Space group Amm2 (No. 38)
One atom of each set of equivalent atoms:
Mg: 0.0000 0.0000 0.0000  2 Ni 2.62
In: 0.5000 0.0000 0.5860  4 Ni 2.68
In: 0.5000 0.2318 0.0562  4 Ni 2.66-2.68
Ni: 0.0000 0.1266 0.3341  1 Mg 2.62, 6 In 2.66-2.68

Properties
ΔH_f (0 K) in eV per atom: -0.0586
Crystal system: orthorhombic

***

Record 2
Mg8InNi2 | PBE | relaxed

a b c (Å): 4.4295 6.9690 7.8844
angles (deg): 112.30 106.13 90.15
Last column: nearest neighbours and their distance in Å.
Space group P-1 (No. 2)
One atom of each set of equivalent atoms:
Mg: 0.0358 0.2346 0.0722  1 Ni 2.61
Mg: 0.1784 0.7682 0.3571  3 Ni 2.71-2.85, 4 Mg 2.95-3.01
Mg: 0.3180 0.5663 0.6360  3 Ni 2.65-2.94, 4 Mg 2.91-2.97
Mg: 0.3865 0.0263 0.7731  2 Ni 2.64, 2 Mg 2.95
In: 0.5000 0.5000 0.0000  8 Mg 2.97-3.07
Ni: 0.1947 0.1700 0.3893  7 Mg 2.61-2.85

Properties
ΔE to the lowest computed polymorph in eV per atom: 0.000
ΔH_f (0 K) in eV per atom: -0.0868
Crystal system: triclinic

***

Record 3
MgInNi | PBE | relaxed

a b c (Å): 5.2134 4.3909 5.3500
angles (deg): 90.00 108.05 90.00
Last column: nearest neighbours and their distance in Å.
Space group P2_1/m (No. 11)
One atom of each set of equivalent atoms:
Mg: 0.1111 0.2500 0.3823  4 Ni 2.63-2.72, 2 Mg 2.94
In: 0.3897 0.7500 0.1291  4 Ni 2.57-2.73
Ni: 0.1093 0.2500 0.8900  4 In 2.57-2.73, 4 Mg 2.63-2.72

Properties
ΔH_f (0 K) in eV per atom: -0.1428
Crystal system: monoclinic

***

Record 4
Mg3In4Ni2 | PBE | relaxed

a b c (Å): 10.9695 4.1548 8.2583
angles (deg): 90.00 91.08 90.00
Last column: nearest neighbours and their distance in Å.
Space group C2/m (No. 12)
One atom of each set of equivalent atoms:
Mg: 0.0000 0.0000 0.0000  6 In 3.05-3.11
Mg: 0.1246 0.5000 0.7028  3 Ni 2.71-2.75
In: 0.0895 0.0000 0.3595  3 Ni 2.63-2.68
In: 0.1893 0.5000 0.1038  1 Ni 2.61
Ni: 0.2384 0.5000 0.4143  2 Ni 2.52, 4 In 2.61-2.68, 3 Mg 2.71-2.75

Properties
ΔH_f (0 K) in eV per atom: -0.0927
Crystal system: monoclinic

***

Record 5
MgInNi5 | PBE | relaxed

a b c (Å): 3.5938 3.5938 7.8408
angles (deg): 90.00 90.00 90.00
Last column: nearest neighbours and their distance in Å.
Space group P4/mmm (No. 123)
One atom of each set of equivalent atoms:
Mg: 0.0000 0.0000 0.0000  8 Ni 2.68
In: 0.5000 0.5000 0.5000  12 Ni 2.54-2.64
Ni: 0.0000 0.0000 0.5000  4 In 2.54, 8 Ni 2.64
Ni: 0.0000 0.5000 0.2538  6 Ni 2.54-2.64, 2 In 2.64, 2 Mg 2.68

Properties
ΔH_f (0 K) in eV per atom: 0.1532
Crystal system: tetragonal

***

Record 6
MgIn2Ni2 | PBE | relaxed

a b c (Å): 3.3845 3.3845 16.8363
angles (deg): 90.00 90.00 90.00
Last column: nearest neighbours and their distance in Å.
Space group I4/mmm (No. 139)
One atom of each set of equivalent atoms:
Mg: 0.0000 0.0000 0.0000  8 In 3.21, 4 Mg 3.38
In: 0.0000 0.0000 0.3732  4 Ni 2.68
Ni: 0.0000 0.5000 0.2500  4 Ni 2.39, 4 In 2.68

Properties
ΔH_f (0 K) in eV per atom: 0.0671
Crystal system: tetragonal

***

Record 7
Mg5InNi | PBE | relaxed

a b c (Å): 4.9762 6.1429 9.9583
angles (deg): 76.68 79.51 82.01
Last column: nearest neighbours and their distance in Å.
Space group P-1 (No. 2)
One atom of each set of equivalent atoms:
Mg: 0.0051 0.2365 0.0455  2 Ni 2.84-3.04, 4 Mg 2.98-3.18, 2 In 3.06-3.09
Mg: 0.0707 0.0475 0.6387  1 Ni 2.81, 6 Mg 2.86-3.13, 1 In 3.03
Mg: 0.1234 0.4777 0.7417  1 Ni 2.56
Mg: 0.4127 0.2456 0.2553  1 Ni 2.65, 1 Mg 2.96
Mg: 0.4381 0.7343 0.4624  2 Ni 2.70-3.01, 3 Mg 2.81-2.93
In: 0.3930 0.8132 0.1443  1 Ni 2.60
Ni: 0.0000 0.5000 0.5000  6 Mg 2.56-2.81
Ni: 0.5000 0.5000 0.0000  2 In 2.60, 4 Mg 2.65-2.84

Properties
ΔH_f (0 K) in eV per atom: -0.0113
Crystal system: triclinic

***

Record 8
Mg2In3Ni4 | PBE | relaxed

a b c (Å): 5.5850 16.9035 6.5388
angles (deg): 90.00 90.00 90.00
Last column: nearest neighbours and their distance in Å.
Space group Cmce (No. 64)
One atom of each set of equivalent atoms:
Mg: 0.0000 0.0937 0.0932  3 Ni 2.65-2.72
In: 0.0000 0.0000 0.5000  6 Ni 2.60
In: 0.2500 0.2442 0.7500  5 Ni 2.67-2.73, 2 In 2.79
Ni: 0.0000 0.1533 0.4796  2 Ni 2.52, 5 In 2.60-2.73, 1 Mg 2.72
Ni: 0.2500 0.0864 0.7500  4 Ni 2.52-2.79, 3 In 2.60-2.67, 2 Mg 2.65

Properties
ΔH_f (0 K) in eV per atom: -0.1015
Crystal system: orthorhombic

***

Record 9
Mg8InNi2 | PBE | relaxed

a b c (Å): 7.9651 11.8694 4.9439
angles (deg): 90.00 103.90 90.00
Last column: nearest neighbours and their distance in Å.
Space group C2/m (No. 12)
One atom of each set of equivalent atoms:
Mg: 0.0000 0.2450 0.0000  2 Ni 2.58
Mg: 0.1087 0.0000 0.7931  2 Ni 2.65
Mg: 0.1961 0.3662 0.5795  2 Ni 2.61-2.64
In: 0.0000 0.5000 0.0000  12 Mg 3.03-3.32
Ni: 0.0000 0.1838 0.5000  8 Mg 2.58-2.65

Properties
ΔE to the lowest computed polymorph in eV per atom: 0.019
ΔH_f (0 K) in eV per atom: -0.0674
Crystal system: monoclinic

***

Record 10
MgInNi | PBE | relaxed

a b c (Å): 3.2184 3.2184 10.0481
angles (deg): 90.00 90.00 90.00
Last column: nearest neighbours and their distance in Å.
Space group I4mm (No. 107)
One atom of each set of equivalent atoms:
Mg: 0.0000 0.0000 0.0000  4 Ni 2.70, 1 In 2.93
In: 0.0000 0.0000 0.7085  4 Ni 2.72, 1 Mg 2.93
Ni: 0.0000 0.0000 0.3559  4 Mg 2.70, 4 In 2.72

Properties
ΔH_f (0 K) in eV per atom: -0.1175
Crystal system: tetragonal

***

Here are the calculated electronic total energy numbers, same order: -21.72 -28.01 -10.54 -28.13 -32.17 -18.30 -16.57 -35.44 -27.80 -10.47 (eV/f.u.).
Here are the calculated Fermi-level density of states numbers, same order: 0.562 0.350 0.362 0.324 1.548 0.941 0.344 0.522 0.463 0.387 (states/eV/atom).